Run one
An optimized crystal structure of YMgSCl2. Source: Alexandria, functional PBE.

The crystal system is tetragonal. As for the size of the total moment: 0.74 μB per formula unit. The value obtained for the volume is 148 Å³/cell.

Cell: 5.2795 5.2795 5.3007 Å, 90.00 90.00 90.00°
Space group P4/mmm (No. 123)
Symmetry-distinct sites (fractional):
Y: 0.0000 0.0000 0.0000 x1
Mg: 0.5000 0.5000 0.5000 x1
S: 0.0000 0.0000 0.5000 x1
Cl: 0.0000 0.5000 0.0000 x2

=====

Run two
An optimized crystal structure of YMgSCl2. Source: Alexandria, functional PBE.

The crystal system is tetragonal. As for the size of the total moment: 0.76 μB per formula unit. The value obtained for the volume is 113 Å³/cell.

Cell: 4.6830 4.6830 5.1449 Å, 90.00 90.00 90.00°
Space group P4/mmm (No. 123)
Symmetry-distinct sites (fractional):
Y: 0.0000 0.0000 0.0000 x1
Mg: 0.5000 0.5000 0.5000 x1
S: 0.5000 0.5000 0.0000 x1
Cl: 0.0000 0.5000 0.5000 x2

=====

Stability check: which of them is least stable? run two.

=====

Run one
An optimized crystal structure of YMgS2Cl. Source: Alexandria, functional PBE.

The crystal system is tetragonal. As for the size of the total moment: 0.00 μB per formula unit. The value obtained for the volume is 108 Å³/cell.

Cell: 4.8793 4.8793 4.5269 Å, 90.00 90.00 90.00°
Space group P4/mmm (No. 123)
Symmetry-distinct sites (fractional):
Y: 0.0000 0.0000 0.0000 x1
Mg: 0.5000 0.5000 0.5000 x1
S: 0.0000 0.5000 0.5000 x2
Cl: 0.5000 0.5000 0.0000 x1

=====

Run two
An optimized crystal structure of YMgS2Cl. Source: Alexandria, functional PBE.

The crystal system is tetragonal. As for the size of the total moment: 0.00 μB per formula unit. The value obtained for the volume is 142 Å³/cell.

Cell: 5.2805 5.2805 5.0859 Å, 90.00 90.00 90.00°
Space group P4/mmm (No. 123)
Symmetry-distinct sites (fractional):
Y: 0.0000 0.0000 0.0000 x1
Mg: 0.5000 0.5000 0.5000 x1
S: 0.0000 0.5000 0.0000 x2
Cl: 0.0000 0.0000 0.5000 x1

=====

Stability check: which of them is least stable? run two.

=====

Run one
An optimized crystal structure of MgZnS2Cl. Source: Alexandria, functional PBE.

The crystal system is tetragonal. As for the size of the total moment: 0.00 μB per formula unit. The value obtained for the volume is 107 Å³/cell.

Cell: 4.6617 4.6617 4.9178 Å, 90.00 90.00 90.00°
Space group P4/mmm (No. 123)
Symmetry-distinct sites (fractional):
Mg: 0.0000 0.0000 0.0000 x1
Zn: 0.5000 0.5000 0.5000 x1
S: 0.0000 0.5000 0.5000 x2
Cl: 0.5000 0.5000 0.0000 x1

=====

Run two
An optimized crystal structure of MgZnS2Cl. Source: Alexandria, functional PBE.

The crystal system is tetragonal. As for the size of the total moment: 0.00 μB per formula unit. The value obtained for the volume is 113 Å³/cell.

Cell: 4.8991 4.8991 4.7032 Å, 90.00 90.00 90.00°
Space group P4/mmm (No. 123)
Symmetry-distinct sites (fractional):
Mg: 0.0000 0.0000 0.0000 x1
Zn: 0.5000 0.5000 0.5000 x1
S: 0.0000 0.5000 0.0000 x2
Cl: 0.0000 0.0000 0.5000 x1

=====

Run three
An optimized crystal structure of MgZnS2Cl. Source: Alexandria, functional PBE.

The crystal system is tetragonal. As for the size of the total moment: 0.00 μB per formula unit. The value obtained for the volume is 119 Å³/cell.

Cell: 4.4334 4.4334 6.0724 Å, 90.00 90.00 90.00°
Space group P4/mmm (No. 123)
Symmetry-distinct sites (fractional):
Mg: 0.0000 0.0000 0.0000 x1
Zn: 0.0000 0.0000 0.5000 x1
S: 0.0000 0.5000 0.5000 x2
Cl: 0.5000 0.5000 0.0000 x1

=====

Stability check: which of them is least stable? run three.

=====

Run one
An optimized crystal structure of MgZrS2Cl. Source: Alexandria, functional PBE.

The crystal system is tetragonal. As for the size of the total moment: 1.00 μB per formula unit. The value obtained for the volume is 104 Å³/cell.

Cell: 4.8204 4.8204 4.4698 Å, 90.00 90.00 90.00°
Space group P4/mmm (No. 123)
Symmetry-distinct sites (fractional):
Mg: 0.0000 0.0000 0.0000 x1
Zr: 0.5000 0.5000 0.5000 x1
S: 0.0000 0.5000 0.0000 x2
Cl: 0.0000 0.0000 0.5000 x1

=====

Run two
An optimized crystal structure of MgZrS2Cl. Source: Alexandria, functional PBE.

The crystal system is tetragonal. As for the size of the total moment: 0.27 μB per formula unit. The value obtained for the volume is 126 Å³/cell.

Cell: 5.0155 5.0155 4.9934 Å, 90.00 90.00 90.00°
Space group P4/mmm (No. 123)
Symmetry-distinct sites (fractional):
Mg: 0.0000 0.0000 0.0000 x1
Zr: 0.5000 0.5000 0.5000 x1
S: 0.0000 0.5000 0.5000 x2
Cl: 0.5000 0.5000 0.0000 x1

=====

Stability check: which of them is least stable? run one.

=====

Run one
An optimized crystal structure of MgSb3Cl. Source: Alexandria, functional PBE.

The crystal system is cubic. As for the size of the total moment: 0.00 μB per formula unit. The value obtained for the volume is 155 Å³/cell.

Cell: 5.3757 5.3757 5.3757 Å, 90.00 90.00 90.00°
Space group Pm-3m (No. 221)
Symmetry-distinct sites (fractional):
Mg: 0.0000 0.0000 0.0000 x1
Sb: 0.0000 0.0000 0.5000 x3
Cl: 0.5000 0.5000 0.5000 x1

=====

Run two
An optimized crystal structure of MgSb3Cl. Source: Alexandria, functional PBE.

The crystal system is cubic. As for the size of the total moment: 0.00 μB per formula unit. The value obtained for the volume is 152 Å³/cell.

Cell: 5.3357 5.3357 5.3357 Å, 90.00 90.00 90.00°
Space group Pm-3m (No. 221)
Symmetry-distinct sites (fractional):
Mg: 0.0000 0.0000 0.0000 x1
Sb: 0.0000 0.5000 0.5000 x3
Cl: 0.5000 0.5000 0.5000 x1

=====

Stability check: which of them is least stable? run two.

=====

Run one
An optimized crystal structure of MgSbCl6. Source: Alexandria, functional PBE.

The crystal system is trigonal. As for the size of the total moment: 0.18 μB per formula unit. The value obtained for the volume is 624 Å³/cell.

Cell: 6.4444 6.4444 17.3552 Å, 90.00 90.00 120.00°
Space group R-3 (No. 148, hexagonal axes)
Symmetry-distinct sites (fractional):
Mg: 0.0000 0.0000 0.0000 x3
Sb: 0.0000 0.0000 0.5000 x3
Cl: 0.0006 0.3478 0.2510 x18

=====

Run two
An optimized crystal structure of MgSbCl6. Source: Alexandria, functional PBE.

The crystal system is trigonal. As for the size of the total moment: 0.00 μB per formula unit. The value obtained for the volume is 910 Å³/cell.

Cell: 12.6860 12.6860 6.5264 Å, 90.00 90.00 120.00°
Space group R-3m (No. 166, hexagonal axes)
Symmetry-distinct sites (fractional):
Mg: 0.0000 0.0000 0.0000 x3
Sb: 0.0000 0.0000 0.5000 x3
Cl: 0.0891 0.1783 0.7502 x18

=====

Stability check: which of them is least stable? run one.

=====

Run one
An optimized crystal structure of MgSbTe2Cl. Source: Alexandria, functional PBE.

The crystal system is tetragonal. As for the size of the total moment: 0.00 μB per formula unit. The value obtained for the volume is 159 Å³/cell.

Cell: 5.3334 5.3334 5.5831 Å, 90.00 90.00 90.00°
Space group P4/mmm (No. 123)
Symmetry-distinct sites (fractional):
Mg: 0.0000 0.0000 0.0000 x1
Sb: 0.0000 0.0000 0.5000 x1
Te: 0.0000 0.5000 0.0000 x2
Cl: 0.5000 0.5000 0.5000 x1

=====

Run two
An optimized crystal structure of MgSbTe2Cl. Source: Alexandria, functional PBE.

The crystal system is tetragonal. As for the size of the total moment: 0.00 μB per formula unit. The value obtained for the volume is 160 Å³/cell.

Cell: 5.5930 5.5930 5.1162 Å, 90.00 90.00 90.00°
Space group P4/mmm (No. 123)
Symmetry-distinct sites (fractional):
Mg: 0.0000 0.0000 0.0000 x1
Sb: 0.5000 0.5000 0.0000 x1
Te: 0.0000 0.5000 0.5000 x2
Cl: 0.5000 0.5000 0.5000 x1

=====

Stability check: which of them is least stable? run two.

=====

Run one
An optimized crystal structure of MgVSb2Cl. Source: Alexandria, functional PBE.

The crystal system is tetragonal. As for the size of the total moment: 2.65 μB per formula unit. The value obtained for the volume is 135 Å³/cell.

Cell: 5.5409 5.5409 4.3930 Å, 90.00 90.00 90.00°
Space group P4/mmm (No. 123)
Symmetry-distinct sites (fractional):
Mg: 0.0000 0.0000 0.0000 x1
V: 0.5000 0.5000 0.0000 x1
Sb: 0.0000 0.5000 0.5000 x2
Cl: 0.5000 0.5000 0.5000 x1

=====

Run two
An optimized crystal structure of MgVSb2Cl. Source: Alexandria, functional PBE.

The crystal system is tetragonal. As for the size of the total moment: 0.08 μB per formula unit. The value obtained for the volume is 139 Å³/cell.

Cell: 4.9923 4.9923 5.5656 Å, 90.00 90.00 90.00°
Space group P4/mmm (No. 123)
Symmetry-distinct sites (fractional):
Mg: 0.0000 0.0000 0.0000 x1
V: 0.0000 0.0000 0.5000 x1
Sb: 0.0000 0.5000 0.5000 x2
Cl: 0.5000 0.5000 0.0000 x1

=====

Stability check: which of them is least stable? run one.